DFT (PBE) results for a relaxed structure of Dy7Hg2Rh2.

Structure (CIF):
```
data_Dy7Hg2Rh2
_cell_length_a 7.9561
_cell_length_b 10.8928
_cell_length_c 7.1263
_cell_angle_alpha 90.00
_cell_angle_beta 90.00
_cell_angle_gamma 90.00
_space_group_name_H-M_alt 'C m m m'
_space_group_IT_number 65
_space_group_name_Hall '-C 2 2'
loop_
_atom_site_label
_atom_site_fract_x
_atom_site_fract_y
_atom_site_fract_z
Dy1 0.0000 0.0000 0.0000
Dy2 0.0000 0.5000 0.2453
Dy3 0.2500 0.2500 0.2523
Hg1 0.1843 0.0000 0.5000
Rh1 0.0000 0.2894 0.0000
```

Summary:
- DFT formation energy (eV/atom) = -0.42
- Fermi-level density of states (states/eV per atom) = 0.905